# Ca3Pu2TaN6

A relaxed Ca3Pu2TaN6 crystal (GGA-PBE, Alexandria).

- Formation energy (no corrections): -1.232 eV/atom

a b c (Å): 5.893 5.893 5.945
angles (deg): 99.51 99.51 120.02
Sites, in units of the cell vectors:
Ca 0.500 0.500 0.500
Ca 0.836 0.164 0.500
Ca 0.164 0.836 0.500
N 0.383 0.071 0.213
N 0.242 0.242 0.788
N 0.929 0.617 0.787
N 0.617 0.929 0.787
N 0.071 0.383 0.213
N 0.758 0.758 0.212
Pu 0.667 0.333 0.000
Pu 0.333 0.667 0.000
Ta 0.000 0.000 0.000

---

# CaPuTaN3

A relaxed CaPuTaN3 crystal (GGA-PBE, Alexandria).

- Formation energy (no corrections): -0.937 eV/atom

a b c (Å): 3.149 6.566 8.797
angles (deg): 97.01 90.00 90.00
Sites, in units of the cell vectors:
Ta 0.250 0.635 0.138
Ta 0.750 0.365 0.862
Pu 0.250 0.116 0.564
Pu 0.750 0.884 0.436
N 0.750 0.330 0.633
N 0.750 0.858 0.146
N 0.250 0.142 0.854
N 0.250 0.588 0.887
N 0.750 0.412 0.113
N 0.250 0.670 0.367
Ca 0.250 0.148 0.150
Ca 0.750 0.852 0.850

---

# CaPu2TaN4

A relaxed CaPu2TaN4 crystal (GGA-PBE, Alexandria).

- Formation energy (no corrections): -1.177 eV/atom

a b c (Å): 6.718 6.744 6.792
angles (deg): 120.48 120.12 90.05
Sites, in units of the cell vectors:
Pu 0.500 0.000 0.500
Pu 0.500 0.000 0.000
Pu 0.000 0.000 0.500
Pu 0.500 0.500 0.000
N 0.281 0.742 0.512
N 0.746 0.754 0.974
N 0.719 0.258 0.488
N 0.758 0.219 0.989
N 0.253 0.247 0.472
N 0.242 0.781 0.011
N 0.747 0.753 0.528
N 0.254 0.246 0.026
Ca 0.000 0.500 0.500
Ca 0.000 0.500 0.000
Ta 0.500 0.500 0.500
Ta 0.000 0.000 0.000

---

# Ca3Tb2PuN6

A relaxed Ca3Tb2PuN6 crystal (GGA-PBE, Alexandria).

- Formation energy (no corrections): -1.280 eV/atom

a b c (Å): 6.026 6.026 6.046
angles (deg): 99.58 99.58 120.06
Sites, in units of the cell vectors:
Ca 0.500 0.500 0.500
Ca 0.834 0.166 0.500
Ca 0.166 0.834 0.500
N 0.926 0.618 0.778
N 0.618 0.926 0.778
N 0.074 0.382 0.222
N 0.769 0.769 0.213
N 0.231 0.231 0.787
N 0.382 0.074 0.222
Tb 0.333 0.667 0.000
Tb 0.667 0.333 0.000
Pu 0.000 0.000 0.000

---

# CaTb2PuN4

A relaxed CaTb2PuN4 crystal (GGA-PBE, Alexandria).

- Formation energy (no corrections): -1.380 eV/atom

a b c (Å): 3.512 5.992 5.987
angles (deg): 108.42 90.00 90.00
Sites, in units of the cell vectors:
Ca 0.500 0.500 0.000
N 0.500 0.243 0.251
N 0.500 0.757 0.749
N 0.000 0.223 0.758
N 0.000 0.777 0.242
Tb 0.000 0.500 0.500
Tb 0.500 0.000 0.500
Pu 0.000 0.000 0.000

---

# Ca2TbPuN4

A relaxed Ca2TbPuN4 crystal (GGA-PBE, Alexandria).

- Formation energy (no corrections): -1.255 eV/atom

a b c (Å): 3.509 5.991 6.021
angles (deg): 108.82 90.00 90.00
Sites, in units of the cell vectors:
Pu 0.000 0.000 0.000
Ca 0.500 0.000 0.500
Ca 0.000 0.500 0.500
N 0.500 0.768 0.777
N 0.000 0.766 0.213
N 0.500 0.232 0.223
N 0.000 0.234 0.787
Tb 0.500 0.500 0.000

---

# Ca3TbPu2N6

A relaxed Ca3TbPu2N6 crystal (GGA-PBE, Alexandria).

- Formation energy (no corrections): -1.241 eV/atom

a b c (Å): 3.506 6.991 7.751
angles (deg): 103.11 103.07 90.00
Sites, in units of the cell vectors:
N 0.014 0.249 0.028
N 0.678 0.565 0.355
N 0.986 0.751 0.972
N 0.322 0.435 0.645
N 0.336 0.891 0.671
N 0.664 0.109 0.329
Ca 0.834 0.167 0.667
Ca 0.500 0.500 0.000
Ca 0.166 0.833 0.333
Pu 0.166 0.330 0.332
Pu 0.834 0.670 0.668
Tb 0.500 0.000 0.000

---

# Ca3Pu2TcN6

A relaxed Ca3Pu2TcN6 crystal (GGA-PBE, Alexandria).

- Formation energy (no corrections): -0.968 eV/atom

a b c (Å): 5.780 5.780 5.930
angles (deg): 99.22 99.22 120.01
Sites, in units of the cell vectors:
N 0.260 0.260 0.784
N 0.072 0.404 0.216
N 0.740 0.740 0.216
N 0.404 0.072 0.216
N 0.596 0.928 0.784
N 0.928 0.596 0.784
Ca 0.500 0.500 0.500
Ca 0.839 0.161 0.500
Ca 0.161 0.839 0.500
Pu 0.333 0.667 0.000
Pu 0.667 0.333 0.000
Tc 0.000 0.000 0.000

---

# CaPu2TcN4

A relaxed CaPu2TcN4 crystal (GGA-PBE, Alexandria).

- Formation energy (no corrections): -0.847 eV/atom

a b c (Å): 3.438 6.067 12.058
angles (deg): 90.00 90.00 106.46
Sites, in units of the cell vectors:
N 0.580 0.159 0.250
N 0.746 0.491 0.604
N 0.420 0.841 0.750
N 0.746 0.491 0.896
N 0.000 0.000 0.000
N 0.254 0.509 0.396
N 0.000 0.000 0.500
N 0.254 0.509 0.104
Tc 0.180 0.359 0.250
Tc 0.820 0.641 0.750
Ca 0.076 0.152 0.750
Ca 0.924 0.848 0.250
Pu 0.369 0.739 0.951
Pu 0.369 0.739 0.549
Pu 0.631 0.261 0.049
Pu 0.631 0.261 0.451

---

# Ca2PuTcN4

A relaxed Ca2PuTcN4 crystal (GGA-PBE, Alexandria).

- Formation energy (no corrections): -0.598 eV/atom

a b c (Å): 3.348 6.051 12.142
angles (deg): 90.00 90.00 106.06
Sites, in units of the cell vectors:
N 0.000 0.000 0.000
N 0.726 0.453 0.635
N 0.437 0.874 0.750
N 0.000 0.000 0.500
N 0.274 0.547 0.365
N 0.563 0.126 0.250
N 0.726 0.453 0.865
N 0.274 0.547 0.135
Ca 0.628 0.256 0.463
Ca 0.372 0.744 0.537
Ca 0.372 0.744 0.963
Ca 0.628 0.256 0.037
Pu 0.912 0.825 0.250
Pu 0.088 0.175 0.750
Tc 0.828 0.656 0.750
Tc 0.172 0.344 0.250

---

# Ca3Pu3TcN8

A relaxed Ca3Pu3TcN8 crystal (GGA-PBE, Alexandria).

- Formation energy (no corrections): -0.911 eV/atom

a b c (Å): 6.731 6.731 6.849
angles (deg): 119.43 90.00 120.00
Sites, in units of the cell vectors:
N 0.741 0.483 0.724
N 0.778 0.556 0.303
N 0.259 0.517 0.276
N 0.222 0.975 0.697
N 0.778 0.025 0.303
N 0.222 0.444 0.697
N 0.753 0.975 0.697
N 0.247 0.025 0.303
Pu 0.000 0.500 0.500
Pu 0.500 0.000 0.500
Pu 0.500 0.500 0.500
Ca 0.000 0.000 0.000
Ca 0.500 0.500 0.000
Ca 0.000 0.500 0.000
Tc 0.000 0.000 0.500

---

# Ca4Pu3TcN8

A relaxed Ca4Pu3TcN8 crystal (GGA-PBE, Alexandria).

- Formation energy (no corrections): -1.014 eV/atom

a b c (Å): 6.757 6.849 6.757
angles (deg): 119.56 120.00 90.00
Sites, in units of the cell vectors:
N 0.738 0.715 0.977
N 0.739 0.717 0.478
N 0.762 0.285 0.523
N 0.261 0.283 0.522
N 0.238 0.715 0.477
N 0.762 0.285 0.023
N 0.238 0.715 0.977
N 0.262 0.285 0.023
Ca 0.500 0.000 0.500
Ca 0.500 0.000 0.000
Ca 0.000 0.000 0.000
Ca 0.000 0.000 0.500
Tc 0.000 0.500 0.000
Pu 0.000 0.500 0.500
Pu 0.500 0.500 0.500
Pu 0.500 0.500 0.000